Computed, not measured: La2HoRh after structural relaxation at the GGA-PBE level of DFT.

Output
- Spin magnetization: 1.15 μB/f.u.
- Formation energy from the elements: -0.27 eV/atom
- E: -5.718 eV/atom

abc: 3.687 3.687 8.584
angles: 90.00 90.00 90.00
Site moments in Bohr magnetons follow the coordinates.
Positions (direct):
Ho 0.500 0.500 0.500  0.46
La 0.000 0.000 0.195  0.09
La 0.000 0.000 0.805  0.09
Rh 0.500 0.500 0.000  0.06

Computed, not measured: NiPdN3 after structural relaxation at the GGA-PBE level of DFT.

Output
- Formation energy without anion corrections: 1.80 eV/atom
- Spin magnetization: 0.00 μB/f.u.
- E: -5.389 eV/atom

abc: 3.677 3.677 3.677
angles: 90.00 90.00 90.00
Positions (direct):
N 0.000 0.500 0.000
N 0.500 0.000 0.000
N 0.000 0.000 0.500
Ni 0.000 0.000 0.000
Pd 0.500 0.500 0.500

Computed, not measured: Na2CuAgBr6 after structural relaxation at the GGA-PBE level of DFT.

Output
- Formation energy without anion corrections: -0.75 eV/atom
- Spin magnetization: 0.00 μB/f.u.
- E: -2.709 eV/atom

abc: 7.257 7.058 7.384
angles: 61.10 68.94 63.96
Positions (direct):
Br 0.108 0.450 0.770
Br 0.434 0.657 0.814
Br 0.933 0.595 0.302
Br 0.212 0.001 0.234
Br 0.567 0.197 0.252
Br 0.705 0.074 0.740
Na 0.518 0.538 0.427
Na 0.030 0.999 0.931
Ag 0.824 0.828 0.527
Cu 0.330 0.324 0.019

Computed, not measured: CaReTc4 after structural relaxation at the GGA-PBE level of DFT.

Output
- Spin magnetization: 0.00 μB/f.u.
- Formation energy from the elements: 0.39 eV/atom
- E: -8.927 eV/atom

abc: 5.199 5.199 5.199
angles: 60.00 60.00 60.00
Positions (direct):
Re 0.000 0.000 0.000
Tc 0.375 0.375 0.375
Tc 0.375 0.375 0.875
Tc 0.375 0.875 0.375
Tc 0.875 0.375 0.375
Ca 0.750 0.750 0.750

Computed, not measured: Ca2HfH after structural relaxation at the GGA-PBE level of DFT.

Output
- Spin magnetization: 0.00 μB/f.u.
- E: -3.276 eV/atom

abc: 5.362 5.362 5.362
angles: 60.00 60.00 60.00
Positions (direct):
H 0.000 0.000 0.000
Ca 0.750 0.750 0.750
Ca 0.250 0.250 0.250
Hf 0.500 0.500 0.500

Computed, not measured: CePm12Pr3 after structural relaxation at the GGA-PBE level of DFT.

Output
- Spin magnetization: 0.88 μB/f.u.
- Formation energy from the elements: 0.03 eV/atom
- E: -4.802 eV/atom

abc: 5.172 5.172 20.654
angles: 90.00 90.00 90.00
Site moments in Bohr magnetons follow the coordinates.
Positions (direct):
Pm 0.500 0.500 0.000  0.01
Pm 0.000 0.500 0.122  0.01
Pm 0.500 0.500 0.751  -0.01
Pm 0.500 0.000 0.626  0.00
Pm 0.500 0.500 0.249  -0.01
Pm 0.500 0.500 0.500  -0.01
Pm 0.500 0.000 0.374  0.00
Pm 0.000 0.500 0.626  0.00
Pm 0.500 0.000 0.878  0.01
Pm 0.500 0.000 0.122  0.01
Pm 0.000 0.500 0.878  0.01
Pm 0.000 0.500 0.374  0.00
Pr 0.000 0.000 0.752  -0.01
Pr 0.000 0.000 0.248  -0.01
Pr 0.000 0.000 0.500  0.00
Ce 0.000 0.000 0.000  0.74

Computed, not measured: BaNdScO4 after structural relaxation at the GGA-PBE level of DFT.

Output
- Formation energy without anion corrections: -3.14 eV/atom
- Spin magnetization: 0.00 μB/f.u.
- E: -7.832 eV/atom

abc: 4.090 4.090 7.081
angles: 106.78 106.78 90.00
Positions (direct):
Nd 0.363 0.363 0.726
Ba 0.648 0.648 0.297
O 0.985 0.485 0.970
O 0.485 0.985 0.970
O 0.180 0.180 0.361
O 0.837 0.837 0.675
Sc 0.000 0.000 0.000

Computed, not measured: KIr after structural relaxation at the GGA-PBE level of DFT.

Output
- Spin magnetization: 0.46 μB/f.u.
- Formation energy from the elements: 0.99 eV/atom
- E: -3.985 eV/atom

abc: 11.958 11.958 11.958
angles: 14.26 14.26 14.26
Site moments in Bohr magnetons follow the coordinates.
Positions (direct):
Ir 0.737 0.737 0.737  0.28
Ir 0.013 0.013 0.013  0.28
K 0.268 0.268 0.268  0.03
K 0.482 0.482 0.482  0.03